# 1
{
  "formula": "SmCd2O3",
  "functional": "PBE-GGA",
  "state": "relaxed",
  "magmom_total_mub_per_fu": 0.0,
  "e_tot_ev_per_atom": -5.27,
  "lattice": [[3.541, 0.000, 0.000], [-1.770, 3.066, 0.000], [0.000, 0.000, 8.360]],
  "species": ["Cd", "Cd", "O", "O", "O", "Sm"],
  "frac_coords": [[0.333, 0.667, 0.148], [0.667, 0.333, 0.852], [0.000, 0.000, 0.000], [0.667, 0.333, 0.362], [0.333, 0.667, 0.638], [0.000, 0.000, 0.500]]
}

***

# 2
{
  "formula": "Sm2CdO4",
  "functional": "PBE-GGA",
  "state": "relaxed",
  "magmom_total_mub_per_fu": 0.0,
  "e_tot_ev_per_atom": -6.96,
  "lattice": [[4.875, -4.876, 0.000], [-4.875, 0.000, -4.876], [4.875, 4.876, 0.000]],
  "species": ["Cd", "Cd", "O", "O", "O", "O", "O", "O", "O", "O", "Sm", "Sm", "Sm", "Sm"],
  "frac_coords": [[0.000, 0.000, 0.000], [0.750, 0.500, 0.250], [0.614, 0.229, 0.386], [0.157, 0.771, 0.386], [0.614, 0.771, 0.386], [0.136, 0.271, 0.407], [0.614, 0.229, 0.843], [0.136, 0.729, 0.864], [0.136, 0.271, 0.864], [0.593, 0.729, 0.864], [0.375, 0.750, 0.125], [0.375, 0.250, 0.625], [0.875, 0.250, 0.625], [0.375, 0.750, 0.625]]
}

***

# 3
{
  "formula": "Sm3CdO",
  "functional": "PBE-GGA",
  "state": "relaxed",
  "magmom_total_mub_per_fu": 0.0,
  "e_tot_ev_per_atom": -5.30,
  "lattice": [[-4.775, 0.256, 1.025], [0.315, -4.185, 2.511], [1.008, 2.517, 4.070]],
  "species": ["Cd", "O", "Sm", "Sm", "Sm"],
  "frac_coords": [[0.000, 0.000, 0.000], [0.500, 0.500, 0.500], [0.500, 0.500, 0.000], [0.500, 0.000, 0.500], [0.000, 0.500, 0.500]]
}

***

# 4
{
  "formula": "Sm2CdTeO6",
  "functional": "PBE-GGA",
  "state": "relaxed",
  "de_polymorph_kj_per_mol_atoms": 0.0,
  "magmom_total_mub_per_fu": 0.0,
  "lattice": [[-2.929, 2.929, 4.149], [2.929, -2.929, 4.149], [2.929, 2.929, -4.149]],
  "species": ["Cd", "O", "O", "O", "O", "O", "O", "Sm", "Sm", "Te"],
  "frac_coords": [[0.000, 0.000, 0.000], [0.252, 0.252, 0.000], [0.748, 0.748, 0.000], [0.354, 0.837, 0.191], [0.837, 0.646, 0.483], [0.163, 0.354, 0.517], [0.646, 0.163, 0.809], [0.750, 0.250, 0.500], [0.250, 0.750, 0.500], [0.500, 0.500, 0.000]]
}

***

# 5
{
  "formula": "Sm2CdTeO6",
  "functional": "PBE-GGA",
  "state": "relaxed",
  "de_polymorph_kj_per_mol_atoms": 11.1,
  "magmom_total_mub_per_fu": 0.0,
  "lattice": [[5.129, -2.915, 0.000], [5.129, 2.915, 0.000], [-2.158, 0.000, 5.230]],
  "species": ["Cd", "O", "O", "O", "O", "O", "O", "Sm", "Sm", "Te"],
  "frac_coords": [[0.000, 0.000, 0.000], [0.816, 0.816, 0.123], [0.790, 0.350, 0.334], [0.350, 0.790, 0.334], [0.650, 0.210, 0.666], [0.210, 0.650, 0.666], [0.184, 0.184, 0.877], [0.361, 0.361, 0.258], [0.639, 0.639, 0.742], [0.000, 0.000, 0.500]]
}

***

# 6
{
  "formula": "SmTlCdO3",
  "functional": "PBE-GGA",
  "state": "relaxed",
  "magmom_total_mub_per_fu": 0.0,
  "e_tot_ev_per_atom": -5.58,
  "lattice": [[-1.488, -0.337, 3.274], [-0.588, -6.942, 1.011], [8.118, -0.153, 3.674]],
  "species": ["Cd", "Cd", "O", "O", "O", "O", "O", "O", "Sm", "Sm", "Tl", "Tl"],
  "frac_coords": [[0.664, 0.672, 0.250], [0.336, 0.328, 0.750], [0.607, 0.786, 0.032], [0.948, 0.105, 0.250], [0.607, 0.786, 0.468], [0.393, 0.214, 0.532], [0.052, 0.895, 0.750], [0.393, 0.214, 0.968], [0.000, 0.000, 0.000], [0.000, 0.000, 0.500], [0.335, 0.329, 0.250], [0.665, 0.671, 0.750]]
}

***

# 7
{
  "formula": "CdSnO3",
  "functional": "PBE-GGA",
  "state": "relaxed",
  "e_tot_ev_per_atom": -5.11,
  "lattice": [[-2.399, 2.830, 1.549], [-3.205, -1.869, -1.548], [-0.384, -2.242, 3.501]],
  "species": ["Cd", "O", "O", "O", "Sn"],
  "frac_coords": [[0.000, 0.000, 0.951], [0.500, 0.500, 0.091], [0.500, 0.000, 0.645], [0.000, 0.500, 0.645], [0.500, 0.500, 0.568]]
}

***

# 8
{
  "formula": "CdSnO3",
  "functional": "PBE-GGA",
  "state": "relaxed",
  "e_tot_ev_per_atom": -5.35,
  "lattice": [[-4.371, -2.362, -2.369], [-0.542, -3.440, 4.431], [-4.774, 5.295, 3.528]],
  "species": ["Cd", "Cd", "Cd", "Cd", "O", "O", "O", "O", "O", "O", "O", "O", "O", "O", "O", "O", "Sn", "Sn", "Sn", "Sn"],
  "frac_coords": [[0.988, 0.047, 0.250], [0.512, 0.547, 0.250], [0.488, 0.453, 0.750], [0.012, 0.953, 0.750], [0.694, 0.303, 0.061], [0.806, 0.803, 0.061], [0.114, 0.448, 0.250], [0.386, 0.948, 0.250], [0.694, 0.303, 0.439], [0.806, 0.803, 0.439], [0.194, 0.197, 0.561], [0.306, 0.697, 0.561], [0.614, 0.052, 0.750], [0.886, 0.552, 0.750], [0.194, 0.197, 0.939], [0.306, 0.697, 0.939], [0.500, 0.000, 0.000], [0.000, 0.500, 0.000], [0.500, 0.000, 0.500], [0.000, 0.500, 0.500]]
}